Entry 1:
The following is a PBE-GGA calculation of a geometry-optimized TbPm2Ho3Tm6 structure, from Alexandria.

Properties
Calculated formation energy = 0.0222 eV per atom
Raw total energy = -4.5356 eV/atom
N(E_F) = 16.054 states/eV/cell

Lattice parameters (Å, degrees): 6.1157 6.1157 11.6564 95.01 95.01 119.95
Element x y z (fractional)
Tb  0.0000  0.0000  0.0000
Pm  0.3334  0.6666  0.0000
Pm  0.6666  0.3334  0.0000
Ho  0.1666  0.8334  0.5000
Ho  0.5000  0.5000  0.5000
Ho  0.8334  0.1666  0.5000
Tm  0.0848  0.4179  0.2524
Tm  0.2481  0.2481  0.7474
Tm  0.4179  0.0848  0.2524
Tm  0.5821  0.9152  0.7476
Tm  0.7519  0.7519  0.2526
Tm  0.9152  0.5821  0.7476

***

Entry 2:
The following is a PBE-GGA calculation of a geometry-optimized Tb6Pm2HoTm structure, from Alexandria.

Properties
Calculated formation energy = 0.1156 eV per atom
Raw total energy = -4.5176 eV/atom
N(E_F) = 26.771 states/eV/cell

Lattice parameters (Å, degrees): 8.7854 8.7854 9.6642 94.42 94.42 118.12
Element x y z (fractional)
Tb  0.0190  0.5741  0.1877
Tb  0.1252  0.7483  0.5565
Tb  0.2517  0.8748  0.9435
Tb  0.2914  0.5021  0.3802
Tb  0.4259  0.9810  0.3123
Tb  0.4979  0.7086  0.1198
Tb  0.5021  0.2914  0.8802
Tb  0.5741  0.0190  0.6877
Tb  0.7086  0.4979  0.6198
Tb  0.7483  0.1252  0.0565
Tb  0.8748  0.2517  0.4435
Tb  0.9810  0.4259  0.8123
Pm  0.1954  0.2990  0.0425
Pm  0.2990  0.1954  0.5425
Pm  0.7010  0.8046  0.4575
Pm  0.8046  0.7010  0.9575
Ho  0.0194  0.9806  0.2500
Ho  0.9806  0.0194  0.7500
Tm  0.4077  0.5923  0.7500
Tm  0.5923  0.4077  0.2500

***

Entry 3:
The following is a PBE-GGA calculation of a geometry-optimized Tb6Pm3HoTm2 structure, from Alexandria.

Properties
Calculated formation energy = 0.0177 eV per atom
Raw total energy = -4.6119 eV/atom
N(E_F) = 15.829 states/eV/cell

Lattice parameters (Å, degrees): 6.1795 6.1795 11.8178 94.99 94.99 119.97
Element x y z (fractional)
Tb  0.0841  0.4177  0.7542
Tb  0.2487  0.2487  0.2458
Tb  0.4177  0.0841  0.7542
Tb  0.5823  0.9159  0.2458
Tb  0.7513  0.7513  0.7542
Tb  0.9159  0.5823  0.2458
Pm  0.0000  0.0000  0.5000
Pm  0.3333  0.6667  0.5000
Pm  0.6667  0.3333  0.5000
Ho  0.5000  0.5000  0.0000
Tm  0.1667  0.8333  0.0000
Tm  0.8333  0.1667  0.0000

***

Entry 4:
The following is a PBE-GGA calculation of a geometry-optimized Tb4Pm2Ho2Tm structure, from Alexandria.

Properties
Calculated formation energy = 0.0118 eV per atom
Raw total energy = -4.6159 eV/atom
N(E_F) = 11.800 states/eV/cell

Lattice parameters (Å, degrees): 9.5038 9.5038 9.5636 115.22 115.22 21.81
Element x y z (fractional)
Tb  0.0182  0.0182  0.3292
Tb  0.3155  0.3155  0.6687
Tb  0.6845  0.6845  0.3313
Tb  0.9818  0.9818  0.6708
Pm  0.3519  0.3519  0.3334
Pm  0.6481  0.6481  0.6666
Ho  0.1661  0.1661  0.0008
Ho  0.8339  0.8339  0.9992
Tm  0.5000  0.5000  0.0000

***

Entry 5:
The following is a PBE-GGA calculation of a geometry-optimized Tb5PmHoTm2 structure, from Alexandria.

Properties
Calculated formation energy = 0.1590 eV per atom
Raw total energy = -4.4435 eV/atom
N(E_F) = 29.282 states/eV/cell

Lattice parameters (Å, degrees): 10.3102 10.3102 10.5243 90.00 90.00 148.52
Element x y z (fractional)
Tb  0.0176  0.9824  0.4998
Tb  0.2811  0.7189  0.7890
Tb  0.2986  0.7014  0.1850
Tb  0.3879  0.6121  0.5000
Tb  0.4787  0.5213  0.2148
Tb  0.5213  0.4787  0.7148
Tb  0.6121  0.3879  0.0000
Tb  0.7014  0.2986  0.6850
Tb  0.7189  0.2811  0.2890
Tb  0.9824  0.0176  0.9998
Pm  0.4148  0.5852  0.9287
Pm  0.5852  0.4148  0.4287
Ho  0.1992  0.8008  0.4886
Ho  0.8008  0.1992  0.9886
Tm  0.1111  0.8889  0.2127
Tm  0.1142  0.8858  0.7948
Tm  0.8858  0.1142  0.2948
Tm  0.8889  0.1111  0.7127

***

Entry 6:
The following is a PBE-GGA calculation of a geometry-optimized Tb2PmHoTm2 structure, from Alexandria.

Properties
Calculated formation energy = 0.1633 eV per atom
Raw total energy = -4.4254 eV/atom
N(E_F) = 18.489 states/eV/cell

Lattice parameters (Å, degrees): 6.9267 16.0377 3.4974 90.00 90.00 90.00
Element x y z (fractional)
Tb  0.2486  0.1591  0.0000
Tb  0.2514  0.6591  0.5000
Tb  0.7486  0.3409  0.5000
Tb  0.7514  0.8409  0.0000
Pm  0.0000  0.5000  0.0000
Pm  0.5000  0.0000  0.5000
Ho  0.0000  0.0000  0.5000
Ho  0.5000  0.5000  0.0000
Tm  0.2493  0.3456  0.5000
Tm  0.2507  0.8456  0.0000
Tm  0.7493  0.1544  0.0000
Tm  0.7507  0.6544  0.5000

***

Entry 7:
The following is a PBE-GGA calculation of a geometry-optimized Tb2Pm6Ho3Tm structure, from Alexandria.

Properties
Calculated formation energy = 0.0128 eV per atom
Raw total energy = -4.6513 eV/atom
N(E_F) = 13.834 states/eV/cell

Lattice parameters (Å, degrees): 6.2305 6.2305 11.8139 95.03 95.03 119.99
Element x y z (fractional)
Tb  0.1667  0.8333  0.0000
Tb  0.8333  0.1667  0.0000
Pm  0.0834  0.4162  0.7498
Pm  0.2509  0.2509  0.2505
Pm  0.4162  0.0834  0.7498
Pm  0.5838  0.9166  0.2502
Pm  0.7491  0.7491  0.7495
Pm  0.9166  0.5838  0.2502
Ho  0.0000  0.0000  0.5000
Ho  0.3334  0.6666  0.5000
Ho  0.6666  0.3334  0.5000
Tm  0.5000  0.5000  0.0000

***

Entry 8:
The following is a PBE-GGA calculation of a geometry-optimized Tb2PmHo6Tm3 structure, from Alexandria.

Properties
Calculated formation energy = 0.0203 eV per atom
Raw total energy = -4.5540 eV/atom
N(E_F) = 16.198 states/eV/cell

Lattice parameters (Å, degrees): 6.1121 6.1121 11.6951 94.99 94.99 119.94
Element x y z (fractional)
Tb  0.1667  0.8333  0.0000
Tb  0.8333  0.1667  0.0000
Pm  0.5000  0.5000  0.0000
Ho  0.0814  0.4150  0.7471
Ho  0.2512  0.2512  0.2528
Ho  0.4150  0.0814  0.7471
Ho  0.5850  0.9186  0.2529
Ho  0.7488  0.7488  0.7472
Ho  0.9186  0.5850  0.2529
Tm  0.0000  0.0000  0.5000
Tm  0.3332  0.6668  0.5000
Tm  0.6668  0.3332  0.5000

***

Entry 9:
The following is a PBE-GGA calculation of a geometry-optimized Tb2PmHo2Tm2 structure, from Alexandria.

Properties
Calculated formation energy = 0.0196 eV per atom
Raw total energy = -4.5675 eV/atom
N(E_F) = 9.312 states/eV/cell

Lattice parameters (Å, degrees): 6.1228 6.1228 7.9240 97.46 97.46 48.31
Element x y z (fractional)
Tb  0.1427  0.1427  0.4298
Tb  0.8573  0.8573  0.5702
Pm  0.0000  0.0000  0.0000
Ho  0.4283  0.4283  0.2855
Ho  0.5717  0.5717  0.7145
Tm  0.2855  0.2855  0.8570
Tm  0.7145  0.7145  0.1430

***

Entry 10:
The following is a PBE-GGA calculation of a geometry-optimized Tb6PmHo2Tm3 structure, from Alexandria.

Properties
Calculated formation energy = 0.0181 eV per atom
Raw total energy = -4.5738 eV/atom
N(E_F) = 15.495 states/eV/cell

Lattice parameters (Å, degrees): 6.1345 6.1345 11.7340 94.98 94.98 119.95
Element x y z (fractional)
Tb  0.0815  0.4153  0.2476
Tb  0.2508  0.2508  0.7523
Tb  0.4153  0.0815  0.2476
Tb  0.5847  0.9185  0.7524
Tb  0.7492  0.7492  0.2477
Tb  0.9185  0.5847  0.7524
Pm  0.5000  0.5000  0.5000
Ho  0.1667  0.8333  0.5000
Ho  0.8333  0.1667  0.5000
Tm  0.0000  0.0000  0.0000
Tm  0.3331  0.6669  0.0000
Tm  0.6669  0.3331  0.0000

***

- Which of these has the highest raw total energy?
  Tb2PmHoTm2

***

- The highest calculated formation energy belongs to which entry?
  Tb2PmHoTm2

***

- raw total energy of number 3 (Tb6Pm3HoTm2)?
  -4.6119 eV/atom